1.
# CoAg2Ir (meta-GGA SCAN, single point on PBEsol structure)
data_CoAg2Ir
_symmetry_space_group_name_H-M 'F m -3 m'
_symmetry_Int_Tables_number 225
_symmetry_space_group_name_Hall '-F 4 2 3'
_cell_length_a 6.159
_cell_length_b 6.159
_cell_length_c 6.159
_cell_angle_alpha 90.00
_cell_angle_beta 90.00
_cell_angle_gamma 90.00
loop_
_atom_site_label
_atom_site_type_symbol
_atom_site_fract_x
_atom_site_fract_y
_atom_site_fract_z
Co1 Co 0.000 0.000 0.000
Ag1 Ag 0.250 0.250 0.250
Ir1 Ir 0.000 0.000 0.500
# Total magnetization (μB/atom): 0.684
# E above lowest polymorph (eV per formula unit): 1.26
# Energy (eV per atom): -37.0658
# Volume (A^3/atom): 14.6
# ΔH_f (0 K) (kJ/mol of atoms): 69

2.
# CoAgIr2 (meta-GGA SCAN, single point on PBEsol structure)
data_CoAgIr2
_symmetry_space_group_name_H-M 'P 4 m m'
_symmetry_Int_Tables_number 99
_cell_length_a 2.707
_cell_length_b 2.707
_cell_length_c 7.528
_cell_angle_alpha 90.00
_cell_angle_beta 90.00
_cell_angle_gamma 90.00
loop_
_symmetry_equiv_pos_as_xyz
'x,y,z'
'-y,x,z'
'-x,-y,z'
'y,-x,z'
'-x,y,z'
'y,x,z'
'x,-y,z'
'-y,-x,z'
loop_
_atom_site_label
_atom_site_type_symbol
_atom_site_fract_x
_atom_site_fract_y
_atom_site_fract_z
Co1 Co 0.000 0.000 0.000
Ag1 Ag 0.500 0.500 0.746
Ir1 Ir 0.000 0.000 0.466
Ir2 Ir 0.500 0.500 0.219
# Total magnetization (μB/atom): 0.516
# E above lowest polymorph (eV per formula unit): 0.24
# Energy (eV per atom): -47.5010
# Volume (A^3/atom): 13.8
# ΔH_f (0 K) (kJ/mol of atoms): 21